[1]
Density functional theory data (PBE-GGA) for a geometry-optimized Mg3H3Ir2 structure.

Cell: 4.475 5.306 5.306 Å, 63.60 66.69 66.69°
Atoms (fractional coordinates):
1 H 0.668 0.383 0.543
2 H 0.639 0.125 0.284
3 H 0.444 0.670 0.830
4 Mg 0.896 0.715 0.874
5 Mg 0.146 0.978 0.138
6 Mg 0.209 0.335 0.494
7 Ir 0.592 0.767 0.441
8 Ir 0.592 0.282 0.927

Summary:
* DOS at the Fermi energy: 0.26 states/eV per atom
* total DFT energy (no corrections): -0.3209 Ry/atom
* relative energy among the computed polymorphs: 0 meV per atom


[2]
Density functional theory data (PBE-GGA) for a geometry-optimized SmHfZnAg structure.

Cell: 4.983 4.983 4.983 Å, 60.00 60.00 60.00°
Atoms (fractional coordinates):
1 Hf 0.500 0.500 0.500
2 Ag 0.250 0.250 0.250
3 Zn 0.750 0.750 0.750
4 Sm 0.000 0.000 0.000

Summary:
* E_form: -0.21 eV per formula unit
* DOS at the Fermi energy: 0.87 states/eV per atom
* total DFT energy (no corrections): -0.3492 Ry/atom


[3]
Density functional theory data (PBE-GGA) for a geometry-optimized KZrAgCl6 structure.

Cell: 6.984 6.984 13.381 Å, 90.00 90.00 120.00°
Atoms (fractional coordinates):
1 Zr 0.333 0.667 0.750
2 Zr 0.667 0.333 0.250
3 Cl 0.968 0.613 0.359
4 Cl 0.968 0.355 0.141
5 Cl 0.355 0.968 0.641
6 Cl 0.613 0.645 0.641
7 Cl 0.355 0.387 0.859
8 Cl 0.032 0.645 0.859
9 Cl 0.645 0.613 0.141
10 Cl 0.613 0.968 0.859
11 Cl 0.387 0.355 0.359
12 Cl 0.645 0.032 0.359
13 Cl 0.387 0.032 0.141
14 Cl 0.032 0.387 0.641
15 Ag 0.667 0.333 0.750
16 Ag 0.333 0.667 0.250
17 K 0.000 0.000 0.000
18 K 0.000 0.000 0.500

Summary:
* raw formation energy: -14.01 eV per formula unit
* DOS at the Fermi energy: 0.00 states/eV per atom
* total DFT energy (no corrections): -0.3070 Ry/atom


[4]
Density functional theory data (PBE-GGA) for a geometry-optimized SrBe2HF structure.

Cell: 6.130 6.130 4.371 Å, 90.00 90.00 90.00°
Atoms (fractional coordinates):
1 Sr 0.000 0.000 0.000
2 Be 0.500 0.000 0.000
3 Be 0.000 0.500 0.000
4 H 0.000 0.000 0.500
5 F 0.500 0.500 0.500

Summary:
* DOS at the Fermi energy: 0.00 states/eV per atom
* total DFT energy (no corrections): -0.1402 Ry/atom


[5]
Density functional theory data (PBE-GGA) for a geometry-optimized Mg3As2O8 structure.

Cell: 6.488 6.488 8.323 Å, 90.00 90.00 123.71°
Atoms (fractional coordinates):
1 O 0.149 0.387 0.001
2 O 0.499 0.501 0.250
3 O 0.001 0.999 0.750
4 O 0.649 0.887 0.499
5 O 0.254 0.746 0.773
6 O 0.113 0.351 0.499
7 O 0.746 0.254 0.227
8 O 0.613 0.851 0.001
9 O 0.999 0.001 0.250
10 O 0.246 0.754 0.273
11 O 0.351 0.113 0.501
12 O 0.387 0.149 0.999
13 O 0.887 0.649 0.501
14 O 0.754 0.246 0.727
15 O 0.851 0.613 0.999
16 O 0.501 0.499 0.750
17 As 0.120 0.880 0.385
18 As 0.880 0.120 0.615
19 As 0.620 0.380 0.115
20 As 0.380 0.620 0.885
21 Mg 0.000 0.000 0.000
22 Mg 0.390 0.110 0.750
23 Mg 0.610 0.890 0.250
24 Mg 0.890 0.610 0.750
25 Mg 0.500 0.500 0.500
26 Mg 0.110 0.390 0.250

Summary:
* raw formation energy: -26.01 eV per formula unit
* DOS at the Fermi energy: 0.00 states/eV per atom
* total DFT energy (no corrections): -0.4509 Ry/atom


[6]
Density functional theory data (PBE-GGA) for a geometry-optimized Y2IrPb structure.

Cell: 3.899 3.899 8.752 Å, 77.33 77.33 59.68°
Atoms (fractional coordinates):
1 Ir 0.250 0.250 0.250
2 Y 0.519 0.519 0.442
3 Y 0.981 0.981 0.058
4 Pb 0.750 0.750 0.750

Summary:
* E_form: -2.16 eV per formula unit
* DOS at the Fermi energy: 0.67 states/eV per atom
* total DFT energy (no corrections): -0.5082 Ry/atom


[7]
Density functional theory data (PBE-GGA) for a geometry-optimized LaSm2Mg6 structure.

Cell: 9.206 9.206 3.352 Å, 90.00 90.00 120.00°
Atoms (fractional coordinates):
1 Sm 0.667 0.333 0.000
2 Sm 0.333 0.667 0.000
3 Mg 0.000 0.336 0.500
4 Mg 0.664 0.664 0.500
5 Mg 0.000 0.664 0.500
6 Mg 0.664 0.000 0.500
7 Mg 0.336 0.000 0.500
8 Mg 0.336 0.336 0.500
9 La 0.000 0.000 0.000

Summary:
* E_form: -0.86 eV per formula unit
* DOS at the Fermi energy: 0.77 states/eV per atom
* total DFT energy (no corrections): -0.2025 Ry/atom


Respective calculated volume values: 12.485; 21.875; 31.404; 32.856; 11.211; 27.778; 27.342 Å³/atom.
Respective M_tot values: 0.0; 1.1; 0.0; 0.0; 0.0; 0.0; 0.0 μB per formula unit.